Computed, not measured: a relaxed structure of K2RbNaMg at the PBE-GGA level of DFT.

Properties
- ΔH_f (0 K): 181.1 meV per atom
- Uncorrected energy: -1.034 eV per atom

Lattice parameters (Å, degrees): 7.0802 7.0802 6.4283 90.00 90.00 90.00
Fractional positions:
Mg 0.0000 0.0000 0.0000
Rb 0.5000 0.5000 0.5000
Na 0.0000 0.0000 0.5000
K 0.0000 0.5000 0.0000
K 0.5000 0.0000 0.0000